VSnAu2 | GGA-PBE | relaxed

Lattice parameters (Å, degrees): 4.1573 4.2179 4.2179 90.00 90.00 90.00
With the nearest neighbours (Å) after each atom.
Fractional coordinates of all 4 atoms:
V1 0.5000 0.5000 0.5000  8 Au 2.96, 4 Sn 2.98
Au1 0.0000 0.5000 0.0000  4 Sn 2.96, 4 V 2.96, 4 Au 2.98
Au2 0.0000 0.0000 0.5000  4 Sn 2.96, 4 V 2.96, 4 Au 2.98
Sn1 0.5000 0.0000 0.0000  8 Au 2.96, 4 V 2.98

Properties
- Space-group type: P4/mmm (123)
- Final energy: -4.91 eV per atom